# 1
# ReTcAu2 (SCAN, PBEsol geometry)
# DFT formation energy: 0.678 eV/atom
data_ReTcAu2
_chemical_formula_sum 'Re4 Tc4 Au8'
_cell_length_a 6.3089
_cell_length_b 6.3089
_cell_length_c 6.3089
_cell_angle_alpha 90.00
_cell_angle_beta 90.00
_cell_angle_gamma 90.00
_symmetry_space_group_name_H-M 'F -4 3 m'
_symmetry_Int_Tables_number 216
_symmetry_space_group_name_Hall 'F -4 2 3'
loop_
_atom_site_label
_atom_site_type_symbol
_atom_site_fract_x
_atom_site_fract_y
_atom_site_fract_z
Re1 Re 0.0000 0.0000 0.0000
Tc1 Tc 0.2500 0.2500 0.7500
Au1 Au 0.0000 0.0000 0.5000
Au2 Au 0.2500 0.2500 0.2500

***

# 2
# Mn3TlBi (SCAN, PBEsol geometry)
# DFT formation energy: 0.695 eV/atom
data_Mn3TlBi
_chemical_formula_sum 'Mn3 Tl1 Bi1'
_cell_length_a 5.0584
_cell_length_b 5.0584
_cell_length_c 5.0584
_cell_angle_alpha 90.00
_cell_angle_beta 90.00
_cell_angle_gamma 90.00
_symmetry_space_group_name_H-M 'P m -3 m'
_symmetry_Int_Tables_number 221
_symmetry_space_group_name_Hall '-P 4 2 3'
loop_
_atom_site_label
_atom_site_type_symbol
_atom_site_fract_x
_atom_site_fract_y
_atom_site_fract_z
Mn1 Mn 0.0000 0.0000 0.5000
Tl1 Tl 0.5000 0.5000 0.5000
Bi1 Bi 0.0000 0.0000 0.0000

***

# 3
# Al2CoBr (SCAN, PBEsol geometry)
# E_form (uncorrected): 0.718 eV/atom
data_Al2CoBr
_chemical_formula_sum 'Al4 Co2 Br2'
_cell_length_a 4.0290
_cell_length_b 4.0290
_cell_length_c 7.9668
_cell_angle_alpha 90.00
_cell_angle_beta 90.00
_cell_angle_gamma 90.00
_symmetry_space_group_name_H-M 'I -4 m 2'
_symmetry_Int_Tables_number 119
_symmetry_space_group_name_Hall 'I -4 -2'
loop_
_atom_site_label
_atom_site_type_symbol
_atom_site_fract_x
_atom_site_fract_y
_atom_site_fract_z
Al1 Al 0.0000 0.0000 0.0000
Al2 Al 0.0000 0.5000 0.2500
Co1 Co 0.0000 0.5000 0.7500
Br1 Br 0.0000 0.0000 0.5000

***

# 4
# KCaOs2 (SCAN, PBEsol geometry)
# DFT formation energy: 0.498 eV/atom
data_KCaOs2
_chemical_formula_sum 'K1 Ca1 Os2'
_cell_length_a 2.8669
_cell_length_b 3.8429
_cell_length_c 9.2574
_cell_angle_alpha 90.00
_cell_angle_beta 90.00
_cell_angle_gamma 90.00
_symmetry_space_group_name_H-M 'P m m 2'
_symmetry_Int_Tables_number 25
loop_
_symmetry_equiv_pos_as_xyz
'x,y,z'
'-x,-y,z'
'-x,y,z'
'x,-y,z'
loop_
_atom_site_label
_atom_site_type_symbol
_atom_site_fract_x
_atom_site_fract_y
_atom_site_fract_z
K1 K 0.0000 0.0000 0.0000
Ca1 Ca 0.5000 0.5000 0.5841
Os1 Os 0.0000 0.0000 0.3674
Os2 Os 0.5000 0.5000 0.2752